Below is a relaxed Tm3OsRh2 crystal, with properties calculated at the GGA-PBE level.

Unit cell a=4.774 b=7.549 c=6.714 alpha=90.00 beta=90.00 gamma=71.57
Positions (direct):
Tm (0.832, 0.335, 0.753)
Tm (0.500, 0.000, 0.248)
Tm (0.168, 0.665, 0.247)
Tm (0.832, 0.335, 0.247)
Tm (0.168, 0.665, 0.753)
Tm (0.500, 0.000, 0.752)
Os (0.334, 0.332, 0.000)
Os (0.666, 0.668, 0.000)
Rh (0.000, 0.000, 0.000)
Rh (0.000, 0.000, 0.500)
Rh (0.334, 0.332, 0.500)
Rh (0.666, 0.668, 0.500)

## Properties
Final energy ... -7.29 eV/atom


Below is a relaxed O2F crystal, with properties calculated at the GGA-PBE level.

Unit cell a=3.875 b=4.911 c=5.665 alpha=64.19 beta=70.08 gamma=67.66
Positions (direct):
O (0.943, 0.483, 0.806)
O (0.057, 0.517, 0.194)
O (0.966, 0.292, 0.225)
O (0.034, 0.708, 0.775)
F (0.322, 0.204, 0.723)
F (0.678, 0.796, 0.277)

## Properties
E_form (uncorrected) ... -0.24 eV/f.u.
Energy above the most stable polymorph in this dataset ... 0.03 eV per formula unit
Final energy ... -4.01 eV/atom


Below is a relaxed GaSn2GePd crystal, with properties calculated at the GGA-PBE level.

Unit cell a=5.268 b=4.754 c=5.268 alpha=90.00 beta=90.00 gamma=90.00
Positions (direct):
Ge (0.000, 0.500, 0.000)
Ga (0.000, 0.000, 0.000)
Sn (0.000, 0.000, 0.500)
Sn (0.500, 0.000, 0.000)
Pd (0.500, 0.500, 0.500)

## Properties
Final energy ... -3.54 eV/atom


Below is a relaxed CoHPdPt2 crystal, with properties calculated at the GGA-PBE level.

Unit cell a=3.947 b=3.947 c=3.977 alpha=90.00 beta=90.00 gamma=90.00
Last column: magnetic moment on the atom in μB.
Positions (direct):
H (0.000, 0.000, 0.000)  0.00
Co (0.500, 0.500, 0.500)  2.14
Pd (0.000, 0.000, 0.500)  0.29
Pt (0.000, 0.500, 0.000)  0.33
Pt (0.500, 0.000, 0.000)  0.33

## Properties
Energy above the most stable polymorph in this dataset ... 0.06 eV per formula unit
Final energy ... -5.48 eV/atom


Below is a relaxed CePr2Ag6 crystal, with properties calculated at the GGA-PBE level.

Unit cell a=3.496 b=8.426 c=8.426 alpha=120.00 beta=90.00 gamma=90.00
Last column: magnetic moment on the atom in μB.
Positions (direct):
Ce (0.000, 0.000, 0.000)  1.04
Pr (0.000, 0.333, 0.667)  0.03
Pr (0.000, 0.667, 0.333)  0.03
Ag (0.500, 0.333, 0.333)  0.01
Ag (0.500, 0.667, 0.667)  0.01
Ag (0.500, 0.000, 0.667)  0.01
Ag (0.500, 0.667, 0.000)  0.01
Ag (0.500, 0.333, 0.000)  0.01
Ag (0.500, 0.000, 0.333)  0.01

## Properties
Final energy ... -3.84 eV/atom


Below is a relaxed SmZn2Si crystal, with properties calculated at the GGA-PBE level.

Unit cell a=4.859 b=4.859 c=4.691 alpha=58.81 beta=58.81 gamma=60.00
Positions (direct):
Zn (0.243, 0.243, 0.270)
Zn (0.757, 0.757, 0.730)
Si (0.000, 0.000, 0.000)
Sm (0.500, 0.500, 0.500)

## Properties
E_form (uncorrected) ... -0.33 eV/f.u.
Final energy ... -3.26 eV/atom


- Which of these has the highest final energy?
  SmZn2Si